{"formula": "Sc2PPt", "functional": "PBE-GGA", "state": "optimized geometry", "lattice_angstrom": [[0.0000, 3.2898, 3.2898], [3.2898, 0.0000, 3.2898], [3.2898, 3.2898, 0.0000]], "species": ["Sc", "Sc", "P", "Pt"], "fractional_positions": [[0.2500, 0.2500, 0.2500], [0.7500, 0.7500, 0.7500], [0.0000, 0.0000, 0.0000], [0.5000, 0.5000, 0.5000]], "formation_energy_mev_per_atom": -985, "e_above_lowest_polymorph_mev_per_atom": 312}

=====

{"formula": "Sc2PPt", "functional": "PBE-GGA", "state": "optimized geometry", "lattice_angstrom": [[5.3296, 0.0028, 0.0000], [4.0577, 3.4554, 0.0000], [0.0000, 0.0000, 3.9584]], "species": ["Sc", "Sc", "P", "Pt"], "fractional_positions": [[0.0168, 0.0168, 0.1249], [0.7327, 0.7327, 0.6251], [0.4613, 0.4613, 0.6250], [0.2891, 0.2891, 0.1250]], "formation_energy_mev_per_atom": -1297, "e_above_lowest_polymorph_mev_per_atom": 0}

=====

{"formula": "Sc2PPt", "functional": "PBE-GGA", "state": "optimized geometry", "lattice_angstrom": [[-1.8079, 1.9681, 5.0142], [1.8079, -1.9681, 5.0142], [1.8079, 1.9681, -5.0142]], "species": ["Sc", "Sc", "P", "Pt"], "fractional_positions": [[0.9855, 0.9855, 0.0000], [0.2501, 0.7501, 0.5000], [0.5312, 0.5312, 0.0000], [0.7332, 0.2332, 0.5000]], "formation_energy_mev_per_atom": -1056, "e_above_lowest_polymorph_mev_per_atom": 241}

=====

{"formula": "ScPPt2Se", "functional": "PBE-GGA", "state": "optimized geometry", "lattice_angstrom": [[4.4898, 0.0000, 0.0000], [0.0000, 4.9946, 0.0000], [0.0000, 0.0000, 4.4898]], "species": ["Sc", "P", "Se", "Pt", "Pt"], "fractional_positions": [[0.0000, 0.5000, 0.0000], [0.0000, 0.0000, 0.0000], [0.5000, 0.5000, 0.5000], [0.0000, 0.0000, 0.5000], [0.5000, 0.0000, 0.0000]], "raw_formation_energy_ev_per_atom": -0.3005}

=====

{"formula": "Sc6P2PtSe3", "functional": "PBE-GGA", "state": "optimized geometry", "lattice_angstrom": [[-3.3789, -0.6306, 1.6208], [-1.3991, -5.6435, -5.1125], [5.4821, -3.6708, 5.5454]], "species": ["Sc", "Sc", "Sc", "Sc", "Sc", "Sc", "P", "P", "Pt", "Se", "Se", "Se"], "fractional_positions": [[0.3330, 0.8994, 0.6660], [0.6728, 0.5716, 0.3455], [0.6670, 0.1006, 0.3340], [0.0059, 0.2449, 0.0118], [0.9941, 0.7551, 0.9882], [0.3272, 0.4284, 0.6545], [0.8327, 0.6643, 0.6653], [0.1673, 0.3357, 0.3347], [0.5000, 0.0000, 0.0000], [0.5000, 0.5000, 0.0000], [0.8333, 0.1676, 0.6665], [0.1667, 0.8324, 0.3335]], "raw_formation_energy_ev_per_atom": -1.5104}

=====

{"formula": "Sc2PPtSe", "functional": "PBE-GGA", "state": "optimized geometry", "lattice_angstrom": [[4.9249, 0.0000, 0.0000], [0.0000, 4.6588, 0.0000], [0.0000, 0.0000, 4.9249]], "species": ["Sc", "Sc", "P", "Se", "Pt"], "fractional_positions": [[0.0000, 0.0000, 0.5000], [0.5000, 0.0000, 0.0000], [0.0000, 0.5000, 0.0000], [0.0000, 0.0000, 0.0000], [0.5000, 0.5000, 0.5000]], "raw_formation_energy_ev_per_atom": 0.0284}

=====

{"formula": "ScSnPPt2", "functional": "PBE-GGA", "state": "optimized geometry", "lattice_angstrom": [[4.9310, 0.0000, 0.0000], [0.0000, 4.9688, 0.0000], [0.0000, 0.0000, 4.9310]], "species": ["Sc", "P", "Sn", "Pt", "Pt"], "fractional_positions": [[0.5000, 0.5000, 0.5000], [0.0000, 0.5000, 0.0000], [0.0000, 0.0000, 0.0000], [0.0000, 0.0000, 0.5000], [0.5000, 0.0000, 0.0000]], "formation_energy_mev_per_atom": 474}

=====

{"formula": "ScTc2PPt", "functional": "PBE-GGA", "state": "optimized geometry", "lattice_angstrom": [[-0.2429, 4.1499, 2.7497], [-3.6019, 1.1787, -2.0970], [-2.7575, -2.4043, 3.3849]], "species": ["Sc", "P", "Tc", "Tc", "Pt"], "fractional_positions": [[0.5000, 0.5000, 0.5000], [0.0000, 0.5000, 0.0000], [0.0000, 0.0000, 0.5000], [0.5000, 0.0000, 0.0000], [0.0000, 0.0000, 0.0000]], "formation_energy_mev_per_atom": 1103}

=====

{"formula": "P2PtSe", "functional": "PBE-GGA", "state": "optimized geometry", "lattice_angstrom": [[-1.2372, 2.3448, 3.6374], [-0.5125, -4.3507, 1.0334], [3.2092, -0.1030, 1.1580]], "species": ["P", "P", "Pt", "Se"], "fractional_positions": [[0.0000, 0.0000, 0.0000], [0.5000, 0.5000, 0.0000], [0.5000, 0.0000, 0.5000], [0.0000, 0.5000, 0.5000]], "raw_formation_energy_ev_per_atom": 0.5515}

=====

{"formula": "P4PtSe", "functional": "PBE-GGA", "state": "optimized geometry", "lattice_angstrom": [[0.0000, 3.7506, 3.7506], [3.7506, 0.0000, 3.7506], [3.7506, 3.7506, 0.0000]], "species": ["P", "P", "P", "P", "Pt", "Se"], "fractional_positions": [[0.8253, 0.3916, 0.3916], [0.3916, 0.3916, 0.8253], [0.3916, 0.8253, 0.3916], [0.3916, 0.3916, 0.3916], [0.7500, 0.7500, 0.7500], [0.0000, 0.0000, 0.0000]], "raw_formation_energy_ev_per_atom": 0.8238}

=====

{"formula": "P2PtSe", "functional": "PBE-GGA", "state": "optimized geometry", "lattice_angstrom": [[-2.9007, -1.8495, 2.8959], [-1.6148, -2.5816, -3.3090], [4.4023, -0.0360, 0.9166]], "species": ["P", "P", "Pt", "Se"], "fractional_positions": [[0.0000, 0.0000, 0.0000], [0.2500, 0.7500, 0.5000], [0.5000, 0.5000, 0.0000], [0.7500, 0.2500, 0.5000]], "raw_formation_energy_ev_per_atom": 0.5602}

=====

{"formula": "P2PtSe", "functional": "PBE-GGA", "state": "optimized geometry", "lattice_angstrom": [[6.4929, 0.0091, 0.0056], [5.5007, 3.4495, 0.0056], [5.5007, 1.5863, 3.0632]], "species": ["P", "P", "Pt", "Se"], "fractional_positions": [[0.9896, 0.9896, 0.9896], [0.5104, 0.5104, 0.5104], [0.2500, 0.2500, 0.2500], [0.7500, 0.7500, 0.7500]], "raw_formation_energy_ev_per_atom": -0.0351}

=====

no.,DOS(E_F) (states/eV/cell)
1,4.8
2,1.2
3,2.4
4,3.9
5,7.2
6,3.5
7,3.2
8,7.1
9,2.6
10,4.3
11,2.9
12,2.5